No. 1
Sr2Te2S5 | PBE-GGA | optimized geometry Values from VASP.

Magnetic moment in μB per atom: 0.00
Formation energy (no corrections) in eV per formula unit: -7.91
Mass density in g/cm³: 3.79

```
&SYSTEM
  ibrav = 0, nat = 9, ntyp = 3
/
ATOMIC_SPECIES
Sr 87.62 Sr.upf
Te 127.60 Te.upf
S 32.06 S.upf
ATOMIC_POSITIONS angstrom
Sr 0.759 1.803 5.767
Sr -2.039 1.656 1.488
Te 1.479 4.648 2.193
Te -2.759 -1.189 5.061
S 0.732 -1.227 6.203
S -2.012 4.686 1.052
S 0.855 2.366 2.718
S -2.135 1.093 4.536
S 0.000 0.000 0.000
CELL_PARAMETERS angstrom
-5.769 0.336 -0.421
3.579 -2.883 7.724
0.910 6.006 -0.049
```

=====

No. 2
Sr2TeS2 | PBE-GGA | optimized geometry Values from VASP.

Magnetic moment in μB per atom: 0.00
Polymorph energy (0 for the lowest one) in meV/atom: 0
Formation energy (no corrections) in eV per formula unit: -6.40
Mass density in g/cm³: 4.30

```
&SYSTEM
  ibrav = 0, nat = 5, ntyp = 3
/
ATOMIC_SPECIES
Sr 87.62 Sr.upf
S 32.06 S.upf
Te 127.60 Te.upf
ATOMIC_POSITIONS angstrom
Sr 2.088 2.088 1.915
Sr 4.176 4.176 6.217
S 4.176 2.088 4.066
S 2.088 4.176 4.066
Te 0.000 0.000 0.000
CELL_PARAMETERS angstrom
4.176 0.000 0.000
0.000 4.176 0.000
2.088 2.088 8.132
```

=====

No. 3
Sr2TeS4 | PBE-GGA | optimized geometry Values from VASP.

Magnetic moment in μB per atom: 0.00
Formation energy (no corrections) in eV per formula unit: -7.55
Mass density in g/cm³: 3.74

```
&SYSTEM
  ibrav = 0, nat = 14, ntyp = 3
/
ATOMIC_SPECIES
Sr 87.62 Sr.upf
Te 127.60 Te.upf
S 32.06 S.upf
ATOMIC_POSITIONS angstrom
Sr 1.541 5.373 9.341
Sr 1.934 1.791 0.022
Sr 0.484 1.791 3.876
Sr 2.990 5.373 5.487
Te 0.663 5.373 2.061
Te 2.811 1.791 7.301
S 2.365 3.694 2.220
S -1.372 5.373 8.281
S 4.846 1.791 1.081
S 2.365 7.052 2.220
S 3.376 1.791 4.936
S 1.109 0.112 7.142
S 1.109 3.470 7.142
S 0.098 5.373 4.426
CELL_PARAMETERS angstrom
5.722 0.000 0.027
0.000 7.164 0.000
-2.247 0.000 9.335
```

=====

No. 4
Sr6TeS4 | PBE-GGA | optimized geometry Values from VASP.

Magnetic moment in μB per atom: 0.07
Formation energy (no corrections) in eV per formula unit: -19.79
Mass density in g/cm³: 3.79

```
&SYSTEM
  ibrav = 0, nat = 22, ntyp = 3
/
ATOMIC_SPECIES
Sr 87.62 Sr.upf
Te 127.60 Te.upf
S 32.06 S.upf
ATOMIC_POSITIONS angstrom
Sr 2.172 0.000 0.000
Sr 2.172 0.000 11.018
Sr 0.000 0.512 7.497
Sr 2.172 6.634 14.538
Sr 2.172 6.634 18.515
Sr 0.000 0.512 3.521
Sr 2.172 3.903 9.258
Sr 0.000 3.243 12.778
Sr 0.000 3.243 20.275
Sr 2.172 3.903 1.760
Sr 0.000 4.838 5.509
Sr 2.172 2.307 16.526
Te 2.172 2.270 5.509
Te 0.000 4.876 16.526
S 2.172 5.193 11.964
S 0.000 5.782 2.685
S 0.000 1.953 10.071
S 2.172 1.364 19.350
S 2.172 5.193 21.089
S 0.000 1.953 0.947
S 2.172 1.364 13.703
S 0.000 5.782 8.333
CELL_PARAMETERS angstrom
4.344 0.000 0.000
-2.172 7.146 0.000
0.000 0.000 22.035
```

=====

No. 5
SrTe3S | PBE-GGA | optimized geometry Values from VASP.

Magnetic moment in μB per atom: 1.16
Polymorph energy (0 for the lowest one) in meV/atom: 1036
Formation energy (no corrections) in eV per formula unit: 3.17
Mass density in g/cm³: 3.27

```
&SYSTEM
  ibrav = 0, nat = 5, ntyp = 3
/
ATOMIC_SPECIES
Sr 87.62 Sr.upf
S 32.06 S.upf
Te 127.60 Te.upf
ATOMIC_POSITIONS angstrom
Sr 0.000 0.000 0.000
S 3.171 3.171 3.171
Te 0.000 3.171 0.000
Te 0.000 0.000 3.171
Te 3.171 0.000 0.000
CELL_PARAMETERS angstrom
6.343 0.000 0.000
0.000 6.343 0.000
0.000 0.000 6.343
```

=====

No. 6
Sr2TeS | PBE-GGA | optimized geometry Values from VASP.

Magnetic moment in μB per atom: 0.00
Polymorph energy (0 for the lowest one) in meV/atom: 205
Formation energy (no corrections) in eV per formula unit: -6.82
Mass density in g/cm³: 3.70

```
&SYSTEM
  ibrav = 0, nat = 8, ntyp = 3
/
ATOMIC_SPECIES
Sr 87.62 Sr.upf
S 32.06 S.upf
Te 127.60 Te.upf
ATOMIC_POSITIONS angstrom
Sr 5.690 1.996 1.178
Sr 2.294 5.988 1.178
Sr 5.988 6.286 3.535
Sr 9.980 9.682 3.535
S 3.992 3.992 0.000
S 3.992 7.984 2.357
Te 0.000 0.000 0.000
Te 7.984 3.992 2.357
CELL_PARAMETERS angstrom
7.984 0.000 0.000
0.000 7.984 0.000
3.992 3.992 4.713
```

=====

No. 7
SrTeS4 | PBE-GGA | optimized geometry Values from VASP.

Magnetic moment in μB per atom: 0.00
Formation energy (no corrections) in eV per formula unit: -3.68
Mass density in g/cm³: 3.33

```
&SYSTEM
  ibrav = 0, nat = 12, ntyp = 3
/
ATOMIC_SPECIES
Sr 87.62 Sr.upf
Te 127.60 Te.upf
S 32.06 S.upf
ATOMIC_POSITIONS angstrom
Sr -4.297 1.581 3.587
Sr -1.893 -5.839 1.391
Te -1.094 -1.541 2.263
Te -5.097 -2.717 2.715
S -2.266 -3.038 7.273
S -5.084 -1.215 4.848
S -4.017 -5.186 -0.862
S -2.174 0.928 5.841
S -3.110 -3.969 3.364
S -1.107 -3.043 0.131
S -3.081 -0.289 1.615
S -3.925 -1.220 -2.294
CELL_PARAMETERS angstrom
-4.588 -1.080 -3.942
1.322 -7.271 2.383
-2.924 4.094 6.538
```

=====

No. 8
Sr2TeS2 | PBE-GGA | optimized geometry Values from VASP.

Magnetic moment in μB per atom: 0.00
Polymorph energy (0 for the lowest one) in meV/atom: 34
Formation energy (no corrections) in eV per formula unit: -6.24
Mass density in g/cm³: 4.42

```
&SYSTEM
  ibrav = 0, nat = 10, ntyp = 3
/
ATOMIC_SPECIES
Sr 87.62 Sr.upf
S 32.06 S.upf
Te 127.60 Te.upf
ATOMIC_POSITIONS angstrom
Sr 2.973 7.234 0.000
Sr 7.234 5.548 0.000
Sr 5.548 1.288 0.000
Sr 1.288 2.973 0.000
S 1.307 5.567 1.899
S 5.567 7.215 1.899
S 7.215 2.954 1.899
S 2.954 1.307 1.899
Te 0.000 0.000 0.000
Te 4.261 4.261 0.000
CELL_PARAMETERS angstrom
8.521 0.000 0.000
0.000 8.521 0.000
0.000 0.000 3.797
```

=====

No. 9
Sr2TeS | PBE-GGA | optimized geometry Values from VASP.

Magnetic moment in μB per atom: 0.00
Polymorph energy (0 for the lowest one) in meV/atom: 0
Formation energy (no corrections) in eV per formula unit: -7.64
Mass density in g/cm³: 4.26

```
&SYSTEM
  ibrav = 0, nat = 4, ntyp = 3
/
ATOMIC_SPECIES
Sr 87.62 Sr.upf
Te 127.60 Te.upf
S 32.06 S.upf
ATOMIC_POSITIONS angstrom
Sr 6.723 3.909 5.779
Sr 2.242 1.304 1.693
Te 4.483 2.607 3.736
S 0.000 0.000 0.000
CELL_PARAMETERS angstrom
4.504 0.014 0.015
2.239 3.907 0.015
2.222 1.292 7.441
```

=====

No. 10
SrTeS3 | PBE-GGA | optimized geometry Values from VASP.

Magnetic moment in μB per atom: 0.00
Polymorph energy (0 for the lowest one) in meV/atom: 0
Formation energy (no corrections) in eV per formula unit: -4.18
Mass density in g/cm³: 3.73

```
&SYSTEM
  ibrav = 0, nat = 20, ntyp = 3
/
ATOMIC_SPECIES
Sr 87.62 Sr.upf
Te 127.60 Te.upf
S 32.06 S.upf
ATOMIC_POSITIONS angstrom
Sr 5.382 -0.750 5.004
Sr 2.436 -1.585 8.801
Sr -1.160 0.166 5.262
Sr -4.107 -0.669 9.060
Te -4.578 -3.284 5.859
Te 2.388 2.083 5.563
Te -1.617 -2.474 2.038
Te -0.574 1.273 9.383
S 0.380 2.663 6.736
S -2.871 2.754 4.685
S 4.060 -4.280 9.739
S 1.228 -3.989 7.154
S 2.397 -0.309 5.923
S 0.705 -2.772 11.010
S -4.040 -0.927 5.915
S 1.753 1.102 9.954
S -0.943 -0.771 8.189
S 5.383 -0.847 8.286
S -0.444 -2.522 4.135
S 0.604 1.351 3.078
CELL_PARAMETERS angstrom
-2.968 4.751 4.286
-3.381 -5.691 3.967
8.083 -0.508 6.159
```

=====

No. 11
SrTeS3 | PBE-GGA | optimized geometry Values from VASP.

Magnetic moment in μB per atom: 0.00
Polymorph energy (0 for the lowest one) in meV/atom: 72
Formation energy (no corrections) in eV per formula unit: -3.82
Mass density in g/cm³: 3.99

```
&SYSTEM
  ibrav = 0, nat = 10, ntyp = 3
/
ATOMIC_SPECIES
Sr 87.62 Sr.upf
Te 127.60 Te.upf
S 32.06 S.upf
ATOMIC_POSITIONS angstrom
Sr 2.758 -1.307 -0.845
Sr 6.390 -5.463 -0.226
Te 6.389 -1.188 -2.024
Te 2.759 -5.582 0.953
S 4.872 -3.429 -2.121
S 4.276 -3.341 1.050
S 4.585 -6.852 1.884
S 8.266 -2.976 -0.515
S 4.564 0.082 -2.955
S 0.882 -3.794 -0.556
CELL_PARAMETERS angstrom
-0.744 -2.967 -2.588
6.641 1.669 -3.821
3.251 -5.473 5.338
```

=====

No. 12
SrTeS3 | PBE-GGA | optimized geometry Values from VASP.

Magnetic moment in μB per atom: 0.00
Polymorph energy (0 for the lowest one) in meV/atom: 1346
Formation energy (no corrections) in eV per formula unit: 2.55
Mass density in g/cm³: 3.15

```
&SYSTEM
  ibrav = 0, nat = 5, ntyp = 3
/
ATOMIC_SPECIES
Sr 87.62 Sr.upf
S 32.06 S.upf
Te 127.60 Te.upf
ATOMIC_POSITIONS angstrom
Sr 0.000 0.000 0.000
S 0.994 -2.533 -0.298
S 0.598 -0.079 2.670
S -2.479 -1.035 0.525
Te -0.887 -3.648 2.897
CELL_PARAMETERS angstrom
-4.959 -2.070 1.050
1.989 -5.066 -0.596
1.197 -0.159 5.341
```

=====

No. 13
Sr4Te3S | PBE-GGA | optimized geometry Values from VASP.

Magnetic moment in μB per atom: 0.00
Formation energy (no corrections) in eV per formula unit: -14.50
Mass density in g/cm³: 4.49

```
&SYSTEM
  ibrav = 0, nat = 16, ntyp = 3
/
ATOMIC_SPECIES
Sr 87.62 Sr.upf
S 32.06 S.upf
Te 127.60 Te.upf
ATOMIC_POSITIONS angstrom
Sr -4.165 -1.760 8.419
Sr -2.529 2.428 8.384
Sr -1.242 -0.643 4.856
Sr 1.464 0.533 1.464
Sr -0.806 -0.610 11.657
Sr 1.899 0.566 8.264
Sr 3.186 -2.504 4.737
Sr 4.822 1.683 4.702
S -5.397 1.175 8.523
S -1.428 -0.652 1.677
Te -4.310 -1.885 5.110
Te -2.515 2.408 5.089
Te -1.113 -0.654 8.278
Te -0.033 -3.693 4.890
Te 1.770 0.577 4.843
Te 0.690 3.616 8.231
CELL_PARAMETERS angstrom
-4.679 -5.521 3.461
7.483 -0.600 2.922
-2.147 6.043 6.739
```

=====

No. 14
Sr2TeS | PBE-GGA | optimized geometry Values from VASP.

Magnetic moment in μB per atom: 0.00
Polymorph energy (0 for the lowest one) in meV/atom: 312
Formation energy (no corrections) in eV per formula unit: -6.39
Mass density in g/cm³: 4.68

```
&SYSTEM
  ibrav = 0, nat = 4, ntyp = 3
/
ATOMIC_SPECIES
Sr 87.62 Sr.upf
S 32.06 S.upf
Te 127.60 Te.upf
ATOMIC_POSITIONS angstrom
Sr 1.951 1.951 1.951
Sr 5.852 5.852 5.852
S 0.000 0.000 0.000
Te 3.902 3.902 3.902
CELL_PARAMETERS angstrom
0.000 3.902 3.902
3.902 0.000 3.902
3.902 3.902 0.000
```

=====

No. 15
Sr3TeS | PBE-GGA | optimized geometry Values from VASP.

Magnetic moment in μB per atom: 0.00
Polymorph energy (0 for the lowest one) in meV/atom: 0
Formation energy (no corrections) in eV per formula unit: -5.48
Mass density in g/cm³: 3.76

```
&SYSTEM
  ibrav = 0, nat = 5, ntyp = 3
/
ATOMIC_SPECIES
Sr 87.62 Sr.upf
S 32.06 S.upf
Te 127.60 Te.upf
ATOMIC_POSITIONS angstrom
Sr 0.000 2.858 0.000
Sr 0.000 0.000 2.858
Sr 2.858 0.000 0.000
S 0.000 0.000 0.000
Te 2.858 2.858 2.858
CELL_PARAMETERS angstrom
5.715 0.000 0.000
0.000 5.715 0.000
0.000 0.000 5.715
```

=====

No. 16
Sr2TeS | PBE-GGA | optimized geometry Values from VASP.

Magnetic moment in μB per atom: 0.00
Polymorph energy (0 for the lowest one) in meV/atom: 65
Formation energy (no corrections) in eV per formula unit: -7.38
Mass density in g/cm³: 4.23

```
&SYSTEM
  ibrav = 0, nat = 4, ntyp = 3
/
ATOMIC_SPECIES
Sr 87.62 Sr.upf
Te 127.60 Te.upf
S 32.06 S.upf
ATOMIC_POSITIONS angstrom
Sr 2.216 1.279 5.991
Sr 2.216 1.279 1.741
Te 4.432 2.559 3.889
S 6.648 3.838 7.695
CELL_PARAMETERS angstrom
4.432 0.000 0.000
2.216 3.838 0.000
2.216 1.279 7.726
```

=====

No. 17
SrTl2TeS4 | PBE-GGA | optimized geometry Values from VASP.

Magnetic moment in μB per atom: 0.00
Formation energy (no corrections) in eV per formula unit: -4.90
Mass density in g/cm³: 5.64

```
&SYSTEM
  ibrav = 0, nat = 16, ntyp = 4
/
ATOMIC_SPECIES
Sr 87.62 Sr.upf
Tl 204.38 Tl.upf
Te 127.60 Te.upf
S 32.06 S.upf
ATOMIC_POSITIONS angstrom
Sr 4.229 -0.069 5.950
Sr 6.389 2.094 2.843
Tl 4.284 -0.014 -0.088
Tl 2.123 -2.176 3.019
Tl 6.406 -2.189 2.931
Tl 4.267 4.270 -0.176
Te 2.105 2.108 2.931
Te 0.000 0.000 0.000
S -2.511 2.290 5.963
S 4.060 0.264 3.007
S 0.153 3.949 2.855
S 6.723 1.924 -0.100
S 2.298 2.200 5.706
S 4.119 4.023 3.087
S 0.093 0.192 2.775
S 1.914 2.014 0.156
CELL_PARAMETERS angstrom
8.567 -0.028 -0.176
-0.034 8.567 -0.176
-4.322 -4.325 6.215
```

=====

No. 18
SrTlTeS3 | PBE-GGA | optimized geometry Values from VASP.

Magnetic moment in μB per atom: 0.00
Formation energy (no corrections) in eV per formula unit: -4.33
Mass density in g/cm³: 4.99

```
&SYSTEM
  ibrav = 0, nat = 12, ntyp = 4
/
ATOMIC_SPECIES
Sr 87.62 Sr.upf
Tl 204.38 Tl.upf
Te 127.60 Te.upf
S 32.06 S.upf
ATOMIC_POSITIONS angstrom
Sr 4.144 0.936 3.410
Sr 5.366 -2.527 0.926
Tl 8.266 0.169 1.504
Tl 1.244 -1.760 2.832
Te 5.441 -5.511 3.521
Te 4.069 3.921 0.815
S 3.624 -3.791 3.225
S 6.096 -1.279 3.722
S 1.144 1.498 2.876
S 3.414 -0.312 0.614
S 8.366 -3.089 1.459
S 5.886 2.201 1.111
CELL_PARAMETERS angstrom
-0.928 -0.099 5.109
4.690 -7.122 -1.926
5.748 5.630 1.153
```

=====

No. 19
Sr2ZnTeS5 | PBE-GGA | optimized geometry Values from VASP.

Magnetic moment in μB per atom: 0.00
Formation energy (no corrections) in eV per formula unit: -9.84
Mass density in g/cm³: 3.99

```
&SYSTEM
  ibrav = 0, nat = 18, ntyp = 4
/
ATOMIC_SPECIES
Sr 87.62 Sr.upf
Zn 65.41 Zn.upf
Te 127.60 Te.upf
S 32.06 S.upf
ATOMIC_POSITIONS angstrom
Sr -10.604 -0.220 6.081
Sr -8.284 1.614 1.306
Sr -3.844 0.672 1.992
Sr -2.827 -1.848 6.908
Zn -12.047 0.382 0.481
Zn -5.852 0.781 7.447
Te -7.086 -0.849 4.507
Te -0.501 -0.110 3.855
S -12.528 2.228 5.838
S -11.422 0.118 2.973
S -9.995 0.017 -0.477
S -8.517 1.493 4.359
S -7.498 -0.921 7.322
S -6.589 -0.815 2.040
S -4.976 0.736 5.018
S -3.907 0.323 8.574
S -2.747 -1.696 3.848
S -0.624 0.071 1.017
CELL_PARAMETERS angstrom
-0.796 -3.912 -0.216
-0.050 1.565 8.860
-12.269 2.525 -0.515
```

=====

No. 20
SrTh5S6 | PBE-GGA | optimized geometry Values from VASP.

Magnetic moment in μB per atom: 0.00
Formation energy (no corrections) in eV per formula unit: -22.12
Mass density in g/cm³: 8.38

```
&SYSTEM
  ibrav = 0, nat = 12, ntyp = 3
/
ATOMIC_SPECIES
Sr 87.62 Sr.upf
S 32.06 S.upf
Th 232.04 Th.upf
ATOMIC_POSITIONS angstrom
Sr 0.000 0.000 0.000
S -0.470 -1.162 6.311
S 3.354 -1.835 5.156
S 0.437 -1.595 2.369
S 1.248 -4.739 7.072
S 2.464 -1.447 9.088
S 6.289 -2.120 7.933
Th 2.039 0.164 6.742
Th 2.944 -0.261 2.792
Th 0.842 -3.167 4.721
Th 5.882 -0.536 5.575
Th 3.779 -3.446 7.501
CELL_PARAMETERS angstrom
-3.007 -2.485 5.877
4.692 -3.849 3.565
4.134 3.052 4.802
```